No. 1
{
  "formula": "TaBe2",
  "functional": "GGA-PBEsol",
  "state": "relaxed",
  "lattice": [[4.5776, 0.0000, 0.0000], [2.2888, 3.9643, 0.0000], [2.2888, 1.3214, 3.7376]],
  "species": ["Be", "Be", "Be", "Be", "Ta", "Ta"],
  "fractional_positions": [[0.6250, 0.1250, 0.1250], [0.1250, 0.1250, 0.1250], [0.1250, 0.6250, 0.1250], [0.1250, 0.1250, 0.6250], [0.5000, 0.5000, 0.5000], [0.7500, 0.7500, 0.7500]],
  "total_energy_ha_per_atom": -0.25855,
  "magmom_total_mub_per_cell": 0.00,
  "space_group": "No. 227",
  "density_g_cm3": 9.74,
  "formation_enthalpy_0k_mev_per_atom": -185
}

No. 2
{
  "formula": "Be8Ru",
  "functional": "GGA-PBEsol",
  "state": "relaxed",
  "lattice": [[4.1392, 0.0000, 0.0000], [-2.0696, 3.5847, 0.0000], [0.0000, 0.0000, 10.9301]],
  "species": ["Be", "Be", "Be", "Be", "Be", "Be", "Be", "Be", "Be", "Be", "Be", "Be", "Be", "Be", "Be", "Be", "Ru", "Ru"],
  "fractional_positions": [[0.6667, 0.3333, 0.3435], [0.6667, 0.3333, 0.6565], [0.4996, 0.9992, 0.1828], [0.4996, 0.5004, 0.1828], [0.0008, 0.5004, 0.1828], [0.4996, 0.9992, 0.8172], [0.4996, 0.5004, 0.8172], [0.0008, 0.5004, 0.8172], [0.0000, 0.0000, 0.0969], [0.0000, 0.0000, 0.9031], [0.8374, 0.6748, 0.5000], [0.8374, 0.1626, 0.5000], [0.3252, 0.1626, 0.5000], [0.6667, 0.3333, 0.0000], [0.3333, 0.6667, 0.3730], [0.3333, 0.6667, 0.6270], [0.0000, 0.0000, 0.3061], [0.0000, 0.0000, 0.6939]],
  "total_energy_ha_per_atom": -0.17580,
  "magmom_total_mub_per_cell": 0.00,
  "space_group": "No. 187",
  "density_g_cm3": 3.55,
  "formation_enthalpy_0k_mev_per_atom": -98
}

No. 3
{
  "formula": "BaBiRu2O",
  "functional": "GGA-PBEsol",
  "state": "relaxed",
  "lattice": [[-1.5345, -3.8573, -2.0865], [4.7665, -1.5459, -0.6476], [-0.1566, -2.3544, 4.4677]],
  "species": ["Ru", "Ru", "Bi", "O", "Ba"],
  "fractional_positions": [[0.0000, 0.0000, 0.5000], [0.0000, 0.5000, 0.0000], [0.0000, 0.0000, 0.0000], [0.5000, 0.0000, 0.0000], [0.5000, 0.5000, 0.5000]],
  "total_energy_ha_per_atom": -0.20604,
  "magmom_total_mub_per_cell": 2.80,
  "formation_energy_uncorrected_ev_per_fu": 4.0,
  "space_group": "No. 123",
  "density_g_cm3": 7.90
}

No. 4
{
  "formula": "Er2Nb2O7",
  "functional": "GGA-PBEsol",
  "state": "relaxed",
  "lattice": [[-3.1559, -4.5528, 4.6088], [-4.7549, -4.8482, -2.4116], [1.7229, -6.9966, -0.0981]],
  "species": ["Er", "Er", "Er", "Er", "Nb", "Nb", "Nb", "Nb", "O", "O", "O", "O", "O", "O", "O", "O", "O", "O", "O", "O", "O", "O"],
  "fractional_positions": [[0.1250, 0.6250, 0.6250], [0.6250, 0.1250, 0.6250], [0.6250, 0.6250, 0.6250], [0.6250, 0.6250, 0.1250], [0.1250, 0.1250, 0.6250], [0.1250, 0.6250, 0.1250], [0.1250, 0.1250, 0.1250], [0.6250, 0.1250, 0.1250], [0.0264, 0.4736, 0.0264], [0.7500, 0.7500, 0.7500], [0.7764, 0.2236, 0.7764], [0.7764, 0.7764, 0.2236], [0.7764, 0.2236, 0.2236], [0.0264, 0.0264, 0.4736], [0.0264, 0.4736, 0.4736], [0.4736, 0.0264, 0.0264], [0.4736, 0.4736, 0.0264], [0.2236, 0.7764, 0.7764], [0.2236, 0.2236, 0.7764], [0.5000, 0.5000, 0.5000], [0.2236, 0.7764, 0.2236], [0.4736, 0.0264, 0.4736]],
  "total_energy_ha_per_atom": -0.33854,
  "magmom_total_mub_per_cell": 0.00,
  "formation_energy_uncorrected_ev_per_fu": -33.1,
  "space_group": "No. 227",
  "density_g_cm3": 7.94
}

No. 5
{
  "formula": "NaCaScZnSi4O12",
  "functional": "GGA-PBEsol",
  "state": "relaxed",
  "lattice": [[-4.2791, 0.6161, 3.0754], [-1.9851, -8.6853, -1.0220], [7.2607, -2.3819, 6.1392]],
  "species": ["Na", "Na", "Ca", "Ca", "Sc", "Sc", "Zn", "Zn", "Si", "Si", "Si", "Si", "Si", "Si", "Si", "Si", "O", "O", "O", "O", "O", "O", "O", "O", "O", "O", "O", "O", "O", "O", "O", "O", "O", "O", "O", "O", "O", "O", "O", "O"],
  "fractional_positions": [[0.0000, 0.5534, 0.7500], [0.0000, 0.4466, 0.2500], [0.5000, 0.0497, 0.2500], [0.5000, 0.9503, 0.7500], [0.5000, 0.6490, 0.2500], [0.5000, 0.3510, 0.7500], [0.0000, 0.1542, 0.7500], [0.0000, 0.8458, 0.2500], [0.8023, 0.8430, 0.5398], [0.1977, 0.8430, 0.9602], [0.2996, 0.3391, 0.0374], [0.8023, 0.1570, 0.0398], [0.7004, 0.3391, 0.4626], [0.1977, 0.1570, 0.4602], [0.2996, 0.6609, 0.5374], [0.7004, 0.6609, 0.9626], [0.9019, 0.7691, 0.8996], [0.7882, 0.0024, 0.6118], [0.7162, 0.8366, 0.3676], [0.4080, 0.2601, 0.3980], [0.2838, 0.8366, 0.1324], [0.2968, 0.4998, 0.1093], [0.9019, 0.2309, 0.3996], [0.2118, 0.0024, 0.8882], [0.2226, 0.3340, 0.8663], [0.7882, 0.9976, 0.1118], [0.0981, 0.7691, 0.6004], [0.7162, 0.1634, 0.8676], [0.7774, 0.3340, 0.6337], [0.4080, 0.7399, 0.8980], [0.7032, 0.4998, 0.3907], [0.2838, 0.1634, 0.6324], [0.2968, 0.5002, 0.6093], [0.5920, 0.2601, 0.1020], [0.2118, 0.9976, 0.3882], [0.2226, 0.6660, 0.3663], [0.0981, 0.2309, 0.1004], [0.7774, 0.6660, 0.1337], [0.7032, 0.5002, 0.8907], [0.5920, 0.7399, 0.6020]],
  "total_energy_ha_per_atom": -0.28216,
  "magmom_total_mub_per_cell": 0.00,
  "formation_energy_uncorrected_ev_per_fu": -55.9,
  "space_group": "No. 13",
  "density_g_cm3": 3.53
}

No. 6
{
  "formula": "MnZn3Re",
  "functional": "GGA-PBEsol",
  "state": "relaxed",
  "lattice": [[4.7080, 0.0000, 0.0000], [0.0000, 4.7080, 0.0000], [0.0000, 0.0000, 4.7080]],
  "species": ["Re", "Zn", "Zn", "Zn", "Mn"],
  "fractional_positions": [[0.0000, 0.0000, 0.0000], [0.0000, 0.5000, 0.0000], [0.0000, 0.0000, 0.5000], [0.5000, 0.0000, 0.0000], [0.5000, 0.5000, 0.5000]],
  "de_polymorph_mev_per_atom": 0,
  "total_energy_ha_per_atom": -0.15696,
  "magmom_total_mub_per_cell": 4.59,
  "space_group": "No. 221",
  "density_g_cm3": 6.96,
  "formation_enthalpy_0k_mev_per_atom": 1297
}

No. 7
{
  "formula": "TaCr3As",
  "functional": "GGA-PBEsol",
  "state": "relaxed",
  "lattice": [[-4.1500, 1.2293, 1.6732], [1.1709, -1.7026, 4.1550], [1.7146, 4.1381, 1.2125]],
  "species": ["Cr", "Cr", "Cr", "As", "Ta"],
  "fractional_positions": [[0.0000, 0.5000, 0.0000], [0.0000, 0.0000, 0.5000], [0.5000, 0.0000, 0.0000], [0.5000, 0.5000, 0.5000], [0.0000, 0.0000, 0.0000]],
  "total_energy_ha_per_atom": -0.29061,
  "magmom_total_mub_per_cell": 8.48,
  "space_group": "No. 221",
  "density_g_cm3": 6.84,
  "formation_enthalpy_0k_mev_per_atom": 1769
}

No. 8
{
  "formula": "H4PbC2O6",
  "functional": "GGA-PBEsol",
  "state": "relaxed",
  "lattice": [[-2.3938, 4.3335, -5.8845], [1.3976, -5.7645, -4.8136], [-8.6952, -3.1343, 1.2290]],
  "species": ["H", "H", "H", "H", "H", "H", "H", "H", "H", "H", "H", "H", "H", "H", "H", "H", "Pb", "Pb", "Pb", "Pb", "C", "C", "C", "C", "C", "C", "C", "C", "O", "O", "O", "O", "O", "O", "O", "O", "O", "O", "O", "O", "O", "O", "O", "O", "O", "O", "O", "O", "O", "O", "O", "O"],
  "fractional_positions": [[0.3536, 0.0575, 0.1635], [0.1506, 0.3254, 0.4038], [0.1464, 0.0575, 0.1635], [0.3536, 0.4425, 0.6635], [0.8494, 0.6746, 0.5962], [0.8536, 0.5575, 0.3365], [0.6464, 0.5575, 0.3365], [0.8536, 0.9425, 0.8365], [0.6506, 0.8254, 0.0962], [0.1464, 0.4425, 0.6635], [0.1506, 0.1746, 0.9038], [0.3494, 0.1746, 0.9038], [0.6464, 0.9425, 0.8365], [0.3494, 0.3254, 0.4038], [0.8494, 0.8254, 0.0962], [0.6506, 0.6746, 0.5962], [0.2500, 0.4567, 0.1008], [0.7500, 0.5433, 0.8992], [0.7500, 0.9567, 0.3992], [0.2500, 0.0433, 0.6008], [0.6492, 0.2759, 0.6291], [0.8508, 0.2241, 0.1291], [0.6492, 0.2241, 0.1291], [0.1492, 0.7759, 0.8709], [0.3508, 0.7241, 0.3709], [0.3508, 0.7759, 0.8709], [0.1492, 0.7241, 0.3709], [0.8508, 0.2759, 0.6291], [0.5731, 0.1680, 0.5471], [0.7500, 0.7648, 0.1401], [0.2500, 0.2648, 0.3599], [0.5729, 0.3838, 0.7102], [0.7500, 0.7352, 0.6401], [0.0729, 0.6162, 0.2898], [0.7500, 0.5165, 0.3904], [0.2500, 0.4835, 0.6096], [0.5731, 0.3320, 0.0471], [0.7500, 0.9835, 0.8904], [0.5729, 0.1162, 0.2102], [0.0731, 0.8320, 0.4529], [0.4271, 0.8838, 0.7898], [0.0729, 0.8838, 0.7898], [0.9269, 0.3320, 0.0471], [0.2500, 0.2352, 0.8599], [0.4271, 0.6162, 0.2898], [0.0731, 0.6680, 0.9529], [0.4269, 0.6680, 0.9529], [0.2500, 0.0165, 0.1096], [0.9271, 0.3838, 0.7102], [0.9271, 0.1162, 0.2102], [0.4269, 0.8320, 0.4529], [0.9269, 0.1680, 0.5471]],
  "total_energy_ha_per_atom": -0.23273,
  "magmom_total_mub_per_cell": 0.00,
  "space_group": "No. 62",
  "density_g_cm3": 4.02
}

No. 9
{
  "formula": "MnCrAg3",
  "functional": "GGA-PBEsol",
  "state": "relaxed",
  "lattice": [[4.7675, 0.0000, 0.0000], [0.0000, 4.7675, 0.0000], [0.0000, 0.0000, 4.7675]],
  "species": ["Cr", "Mn", "Ag", "Ag", "Ag"],
  "fractional_positions": [[0.5000, 0.5000, 0.5000], [0.0000, 0.0000, 0.0000], [0.0000, 0.5000, 0.0000], [0.0000, 0.0000, 0.5000], [0.5000, 0.0000, 0.0000]],
  "total_energy_ha_per_atom": -0.17078,
  "magmom_total_mub_per_cell": 8.87,
  "space_group": "No. 221",
  "density_g_cm3": 6.60,
  "formation_enthalpy_0k_mev_per_atom": 1340
}

No. 10
{
  "formula": "CrMo2",
  "functional": "GGA-PBEsol",
  "state": "relaxed",
  "lattice": [[2.6467, 0.0003, 0.0000], [-0.8883, 2.4931, 0.0000], [-0.8792, -1.2467, 6.3704]],
  "species": ["Cr", "Mo", "Mo"],
  "fractional_positions": [[0.0000, 0.0000, 0.0000], [0.6608, 0.6608, 0.3217], [0.3392, 0.3392, 0.6783]],
  "de_polymorph_mev_per_atom": 13,
  "total_energy_ha_per_atom": -0.41065,
  "magmom_total_mub_per_cell": 0.00,
  "space_group": "No. 69",
  "density_g_cm3": 9.63,
  "formation_enthalpy_0k_mev_per_atom": 85
}